Compound: ScTiZnOs
Source: Alexandria via LeMat-Bulk
Functional: PBE-GGA
Structure: optimized geometry

Values from the calculation:
The value obtained for the total energy is -28.3 eV for the cell shown. The value obtained for the energy relative to the elements is -393 meV per atom. The total magnetic moment comes out at 0.0 μB/f.u.

Unit cell a=4.511 b=4.511 c=4.511 alpha=60.00 beta=60.00 gamma=60.00
Fractional positions:
Ti 0.250 0.250 0.250
Sc 0.750 0.750 0.750
Zn 0.000 0.000 0.000
Os 0.500 0.500 0.500